! PuCrIn2O8 PBE with a Hubbard U optimized geometry; values from VASP
! Total energy = -7.4194 eV/atom
! Total magnetization = 0.33 μB/atom
&SYSTEM
  ibrav = 0, nat = 12, ntyp = 4
/
ATOMIC_SPECIES
Pu 244.00 Pu.upf
Cr 52.00 Cr.upf
In 114.82 In.upf
O 16.00 O.upf
ATOMIC_POSITIONS crystal
Pu 0.0000 0.0000 0.0000
Cr 0.0000 0.0000 0.5000
In 0.5000 0.5000 0.2617
In 0.5000 0.5000 0.7383
O 0.1794 0.8206 0.2445
O 0.1794 0.8206 0.7555
O 0.2887 0.2887 0.5000
O 0.2995 0.2995 0.0000
O 0.7005 0.7005 0.0000
O 0.7113 0.7113 0.5000
O 0.8206 0.1794 0.2445
O 0.8206 0.1794 0.7555
CELL_PARAMETERS angstrom
3.4244 -3.5663 0.0000
3.4244 3.5663 0.0000
0.0000 0.0000 6.4266